Entry 1:
Density functional theory data (PBE) for Sc4SnPbS8 after structural relaxation.

- theoretical density (g/cm3) = 3.7
- SG = R3m (160)
- formation energy without anion corrections (kJ/mol of formula units) = -1900

Cell: 8.061 8.061 8.061 Å, 57.03 57.03 57.03°
Fractional positions:
Sc (0.000, 0.000, 0.000)
Sc (0.127, 0.624, 0.624)
Sc (0.624, 0.127, 0.624)
Sc (0.624, 0.624, 0.127)
Sn (0.619, 0.619, 0.619)
Pb (0.254, 0.254, 0.254)
S (0.375, 0.375, 0.831)
S (0.375, 0.831, 0.375)
S (0.388, 0.880, 0.880)
S (0.395, 0.395, 0.395)
S (0.831, 0.375, 0.375)
S (0.868, 0.868, 0.868)
S (0.880, 0.388, 0.880)
S (0.880, 0.880, 0.388)

***

Entry 2:
Density functional theory data (PBE) for ScSnPb2S5 after structural relaxation.

- theoretical density (g/cm3) = 5.5
- N(E_F) (states/eV/cell) = 7.45
- SG = Cmc2_1 (36)
- formation energy without anion corrections (kJ/mol of formula units) = -687

Cell: 8.710 8.710 13.405 Å, 90.00 90.00 153.77°
Fractional positions:
Sc (0.218, 0.782, 0.500)
Sc (0.782, 0.218, 0.000)
Sn (0.455, 0.545, 0.916)
Sn (0.545, 0.455, 0.416)
Pb (0.108, 0.892, 0.126)
Pb (0.139, 0.861, 0.765)
Pb (0.861, 0.139, 0.265)
Pb (0.892, 0.108, 0.626)
S (0.063, 0.937, 0.539)
S (0.275, 0.725, 0.133)
S (0.306, 0.694, 0.874)
S (0.368, 0.632, 0.478)
S (0.487, 0.513, 0.239)
S (0.513, 0.487, 0.739)
S (0.632, 0.368, 0.978)
S (0.694, 0.306, 0.374)
S (0.725, 0.275, 0.633)
S (0.937, 0.063, 0.039)

***

Entry 3:
Density functional theory data (PBE) for SrSc4PbS8 after structural relaxation.

- theoretical density (g/cm3) = 3.5
- SG = R3m (160)
- formation energy without anion corrections (kJ/mol of formula units) = -2220

Cell: 8.143 8.143 8.143 Å, 56.55 56.55 56.55°
Fractional positions:
Sr (0.000, 0.000, 0.000)
Sc (0.377, 0.377, 0.377)
Sc (0.506, 0.999, 0.999)
Sc (0.999, 0.506, 0.999)
Sc (0.999, 0.999, 0.506)
Pb (0.628, 0.628, 0.628)
S (0.211, 0.745, 0.745)
S (0.245, 0.245, 0.245)
S (0.260, 0.260, 0.762)
S (0.260, 0.762, 0.260)
S (0.745, 0.211, 0.745)
S (0.745, 0.745, 0.211)
S (0.762, 0.260, 0.260)
S (0.772, 0.772, 0.772)

***

Entry 4:
Density functional theory data (PBE) for ScTaPb2S after structural relaxation.

- theoretical density (g/cm3) = 7.8
- N(E_F) (states/eV/cell) = 8.96
- SG = P4/mmm (123)
- formation energy without anion corrections (kJ/mol of formula units) = 451

Cell: 5.597 5.597 4.594 Å, 90.00 90.00 90.00°
Fractional positions:
Sc (0.000, 0.000, 0.000)
Ta (0.500, 0.500, 0.500)
Pb (0.000, 0.500, 0.000)
Pb (0.500, 0.000, 0.000)
S (0.000, 0.000, 0.500)

***

Entry 5:
Density functional theory data (PBE) for Tm2Sc2Pb2S after structural relaxation.

- theoretical density (g/cm3) = 8.1
- N(E_F) (states/eV/cell) = 5.26
- SG = I4/mmm (139)
- formation energy without anion corrections (kJ/mol of formula units) = -544

Cell: 8.616 8.616 8.616 Å, 147.91 147.91 46.02°
Fractional positions:
Tm (0.167, 0.167, 0.000)
Tm (0.833, 0.833, 0.000)
Sc (0.000, 0.500, 0.500)
Sc (0.500, 0.000, 0.500)
Pb (0.363, 0.363, 0.000)
Pb (0.637, 0.637, 0.000)
S (0.000, 0.000, 0.000)

***

Entry 6:
Density functional theory data (PBE) for Tm3ScPb2S after structural relaxation.

- theoretical density (g/cm3) = 8.8
- N(E_F) (states/eV/cell) = 4.72
- SG = Immm (71)
- formation energy without anion corrections (kJ/mol of formula units) = -510

Cell: 8.677 8.677 8.677 Å, 147.99 146.74 46.84°
Fractional positions:
Tm (0.000, 0.000, 0.000)
Tm (0.334, 0.834, 0.500)
Tm (0.666, 0.166, 0.500)
Sc (0.500, 0.500, 0.000)
Pb (0.139, 0.639, 0.500)
Pb (0.861, 0.361, 0.500)
S (0.500, 0.000, 0.500)

***

Entry 7:
Density functional theory data (PBE) for Tm4ScPbS8 after structural relaxation.

- theoretical density (g/cm3) = 5.5
- N(E_F) (states/eV/cell) = 4.58
- SG = R3m (160)
- formation energy without anion corrections (kJ/mol of formula units) = -2339

Cell: 7.893 7.893 7.893 Å, 61.66 61.66 61.66°
Fractional positions:
Tm (0.000, 0.000, 0.000)
Tm (0.381, 0.381, 0.872)
Tm (0.381, 0.872, 0.381)
Tm (0.872, 0.381, 0.381)
Sc (0.380, 0.380, 0.380)
Pb (0.760, 0.760, 0.760)
S (0.135, 0.135, 0.135)
S (0.138, 0.138, 0.603)
S (0.138, 0.603, 0.138)
S (0.176, 0.606, 0.606)
S (0.603, 0.138, 0.138)
S (0.606, 0.176, 0.606)
S (0.606, 0.606, 0.176)
S (0.617, 0.617, 0.617)

***

Entry 8:
Density functional theory data (PBE) for ScUPb2S6 after structural relaxation.

- theoretical density (g/cm3) = 6.0
- N(E_F) (states/eV/cell) = 0.68
- SG = P2_1/c (14)
- formation energy without anion corrections (kJ/mol of formula units) = -1074

Cell: 6.842 7.231 11.980 Å, 90.00 124.18 90.00°
Fractional positions:
Sc (0.000, 0.000, 0.000)
Sc (0.000, 0.500, 0.500)
U (0.500, 0.000, 0.500)
U (0.500, 0.500, 0.000)
Pb (0.221, 0.075, 0.745)
Pb (0.221, 0.425, 0.245)
Pb (0.779, 0.575, 0.755)
Pb (0.779, 0.925, 0.255)
S (0.137, 0.198, 0.447)
S (0.137, 0.302, 0.947)
S (0.249, 0.696, 0.442)
S (0.249, 0.804, 0.942)
S (0.359, 0.025, 0.248)
S (0.359, 0.475, 0.748)
S (0.641, 0.525, 0.252)
S (0.641, 0.975, 0.752)
S (0.751, 0.196, 0.058)
S (0.751, 0.304, 0.558)
S (0.863, 0.698, 0.053)
S (0.863, 0.802, 0.553)

***

Entry 9:
Density functional theory data (PBE) for ScV2PbS after structural relaxation.

- theoretical density (g/cm3) = 4.5
- N(E_F) (states/eV/cell) = 8.78
- SG = P4/mmm (123)
- formation energy without anion corrections (kJ/mol of formula units) = 574

Cell: 5.129 5.129 5.461 Å, 90.00 90.00 90.00°
Fractional positions:
Sc (0.000, 0.000, 0.000)
V (0.000, 0.500, 0.500)
V (0.500, 0.000, 0.500)
Pb (0.000, 0.000, 0.500)
S (0.500, 0.500, 0.000)

***

Entry 10:
Density functional theory data (PBE) for YSc4PbS8 after structural relaxation.

- theoretical density (g/cm3) = 3.6
- N(E_F) (states/eV/cell) = 6.03
- SG = R3m (160)
- formation energy without anion corrections (kJ/mol of formula units) = -2228

Cell: 7.941 7.941 7.941 Å, 58.27 58.27 58.27°
Fractional positions:
Y (0.000, 0.000, 0.000)
Sc (0.001, 0.001, 0.503)
Sc (0.001, 0.503, 0.001)
Sc (0.374, 0.374, 0.374)
Sc (0.503, 0.001, 0.001)
Pb (0.632, 0.632, 0.632)
S (0.208, 0.757, 0.757)
S (0.244, 0.244, 0.244)
S (0.250, 0.250, 0.768)
S (0.250, 0.768, 0.250)
S (0.757, 0.208, 0.757)
S (0.757, 0.757, 0.208)
S (0.768, 0.250, 0.250)
S (0.772, 0.772, 0.772)

***

Entry 11:
Density functional theory data (PBE) for Zr2ScPbS after structural relaxation.

- theoretical density (g/cm3) = 6.0
- N(E_F) (states/eV/cell) = 6.86
- SG = P4/mmm (123)
- formation energy without anion corrections (kJ/mol of formula units) = 240

Cell: 5.319 5.319 4.598 Å, 90.00 90.00 90.00°
Fractional positions:
Zr (0.000, 0.500, 0.000)
Zr (0.500, 0.000, 0.000)
Sc (0.000, 0.000, 0.000)
Pb (0.500, 0.500, 0.500)
S (0.000, 0.000, 0.500)

***

Entry 12:
Density functional theory data (PBE) for PbSeS2 after structural relaxation.

- theoretical density (g/cm3) = 5.0
- N(E_F) (states/eV/cell) = 4.10
- ΔE to the lowest computed polymorph (eV/atom) = 0.2179
- SG = R-3m (166)
- formation energy without anion corrections (kJ/mol of formula units) = 24

Cell: 8.261 8.261 8.261 Å, 29.04 29.04 29.04°
Fractional positions:
Pb (0.000, 0.000, 0.000)
Se (0.500, 0.500, 0.500)
S (0.401, 0.401, 0.401)
S (0.599, 0.599, 0.599)

***

no.,volume (A^3/atom)
1,24.6
2,25.0
3,25.1
4,28.8
5,25.7
6,27.0
7,25.8
8,24.5
9,28.7
10,24.3
11,26.0
12,29.4